Entry 1:
# Ac6LaNd2 GGA-PBE relaxed
# - E_form (meV per atom) = 138.7
# - D(E_F) (states/eV per cell) = 60.1
# - offset from the most stable computed form (meV/atom) = 65
# - magnetization (μB per formula unit) = 0.00
# - uncorrected energy (eV per atom) = -4.21
data_Ac6LaNd2
_space_group_name_H-M_alt 'C 1 2/c 1'
_space_group_IT_number 15
_cell_length_a 15.496
_cell_length_b 12.641
_cell_length_c 7.880
_cell_angle_alpha 90.00
_cell_angle_beta 90.60
_cell_angle_gamma 90.00
loop_
_space_group_symop_operation_xyz
'x,y,z'
'-x,-y,-z'
'-x,y,-z+1/2'
'x,-y,z+1/2'
'x+1/2,y+1/2,z'
'-x+1/2,-y+1/2,-z'
'-x+1/2,y+1/2,-z+1/2'
'x+1/2,-y+1/2,z+1/2'
loop_
_atom_site_label
_atom_site_type_symbol
_atom_site_fract_x
_atom_site_fract_y
_atom_site_fract_z
Ac1 Ac 0.101 0.001 0.370
Ac2 Ac 0.119 0.268 0.613
Ac3 Ac 0.144 0.251 0.118
La1 La 0.000 0.467 0.250
Nd1 Nd 0.202 0.497 0.889

=====

Entry 2:
# Hf4Ga2H GGA-PBE relaxed
# - D(E_F) (states/eV per cell) = 14.7
# - offset from the most stable computed form (meV/atom) = 0
# - magnetization (μB per formula unit) = 0.00
# - uncorrected energy (eV per atom) = -7.35
data_Hf4Ga2H
_space_group_name_H-M_alt 'I 4/m m m'
_space_group_IT_number 139
_space_group_name_Hall '-I 4 2'
_cell_length_a 4.023
_cell_length_b 4.023
_cell_length_c 15.209
_cell_angle_alpha 90.00
_cell_angle_beta 90.00
_cell_angle_gamma 90.00
loop_
_atom_site_label
_atom_site_type_symbol
_atom_site_fract_x
_atom_site_fract_y
_atom_site_fract_z
Hf1 Hf 0.000 0.000 0.180
Hf2 Hf 0.000 0.500 0.000
Ga1 Ga 0.000 0.000 0.363
H1 H 0.000 0.000 0.000

=====

Entry 3:
# LaMo2Au GGA-PBE relaxed
# - E_form (meV per atom) = 557.5
# - D(E_F) (states/eV per cell) = 19.2
# - offset from the most stable computed form (meV/atom) = 467
# - magnetization (μB per formula unit) = 0.00
# - uncorrected energy (eV per atom) = -6.91
data_LaMo2Au
_space_group_name_H-M_alt 'I -4 2 d'
_space_group_IT_number 122
_space_group_name_Hall 'I -4 2bw'
_cell_length_a 4.179
_cell_length_b 4.179
_cell_length_c 20.527
_cell_angle_alpha 90.00
_cell_angle_beta 90.00
_cell_angle_gamma 90.00
loop_
_atom_site_label
_atom_site_type_symbol
_atom_site_fract_x
_atom_site_fract_y
_atom_site_fract_z
La1 La 0.000 0.000 0.000
Mo1 Mo 0.166 0.250 0.625
Au1 Au 0.000 0.000 0.500

=====

Entry 4:
# MgSb2Pb2 GGA-PBE relaxed
# - D(E_F) (states/eV per cell) = 4.9
# - formation energy without anion corrections (eV/atom) = 0.1512
# - offset from the most stable computed form (meV/atom) = 271
# - magnetization (μB per formula unit) = 0.00
# - uncorrected energy (eV per atom) = -3.30
data_MgSb2Pb2
_space_group_name_H-M_alt 'P 4/m b m'
_space_group_IT_number 127
_space_group_name_Hall '-P 4 2ab'
_cell_length_a 8.721
_cell_length_b 8.721
_cell_length_c 3.999
_cell_angle_alpha 90.00
_cell_angle_beta 90.00
_cell_angle_gamma 90.00
loop_
_atom_site_label
_atom_site_type_symbol
_atom_site_fract_x
_atom_site_fract_y
_atom_site_fract_z
Mg1 Mg 0.000 0.000 0.000
Sb1 Sb 0.161 0.339 0.500
Pb1 Pb 0.140 0.640 0.000

=====

Entry 5:
# Re2Br8N GGA-PBE relaxed
# - D(E_F) (states/eV per cell) = 8.4
# - formation energy without anion corrections (eV/atom) = -0.2166
# - magnetization (μB per formula unit) = 3.04
# - uncorrected energy (eV per atom) = -4.45
data_Re2Br8N
_space_group_name_H-M_alt 'C 1 2/m 1'
_space_group_IT_number 12
_cell_length_a 15.206
_cell_length_b 8.905
_cell_length_c 8.357
_cell_angle_alpha 90.00
_cell_angle_beta 113.62
_cell_angle_gamma 90.00
loop_
_space_group_symop_operation_xyz
'x,y,z'
'-x,-y,-z'
'-x,y,-z'
'x,-y,z'
'x+1/2,y+1/2,z'
'-x+1/2,-y+1/2,-z'
'-x+1/2,y+1/2,-z'
'x+1/2,-y+1/2,z'
loop_
_atom_site_label
_atom_site_type_symbol
_atom_site_fract_x
_atom_site_fract_y
_atom_site_fract_z
Re1 Re 0.117 0.000 0.175
Br1 Br 0.122 0.000 0.466
Br2 Br 0.125 0.279 0.188
Br3 Br 0.250 0.000 0.089
N1 N 0.000 0.000 0.000

=====

Entry 6:
# HPtCl2 GGA-PBE relaxed
# - D(E_F) (states/eV per cell) = 5.9
# - offset from the most stable computed form (meV/atom) = 149
# - magnetization (μB per formula unit) = 0.00
# - uncorrected energy (eV per atom) = -2.89
data_HPtCl2
_space_group_name_H-M_alt 'R -3 m'
_space_group_IT_number 166
_space_group_name_Hall '-R 3 2"'
_cell_length_a 3.1571
_cell_length_b 3.1571
_cell_length_c 21.0664
_cell_angle_alpha 90.00
_cell_angle_beta 90.00
_cell_angle_gamma 120.00
loop_
_atom_site_label
_atom_site_type_symbol
_atom_site_fract_x
_atom_site_fract_y
_atom_site_fract_z
H1 H 0.0000 0.0000 0.0000
Pt1 Pt 0.0000 0.0000 0.5000
Cl1 Cl 0.0000 0.0000 0.3923